[1]
Here is a relaxed Nd2Sm2Zn3 crystal from Alexandria. Energies are from GGA-PBE.

Values from the calculation:
* total moment: 0.0003 μB per atom
* E: -3.44 eV per atom

abc: 8.9068 5.1224 8.8325
angles: 90.00 109.96 90.00
Sites, in units of the cell vectors:
Nd 0.1275 0.0000 0.3815
Nd 0.3725 0.5000 0.6185
Nd 0.6275 0.5000 0.3815
Nd 0.8725 0.0000 0.6185
Sm 0.1219 0.5000 0.8659
Sm 0.3781 0.0000 0.1341
Sm 0.6219 0.0000 0.8659
Sm 0.8781 0.5000 0.1341
Zn 0.0000 0.0000 0.0000
Zn 0.2468 0.5000 0.2392
Zn 0.2532 0.0000 0.7608
Zn 0.5000 0.5000 0.0000
Zn 0.7468 0.0000 0.2392
Zn 0.7532 0.5000 0.7608


[2]
Here is a relaxed Nd4SmZn4 crystal from Alexandria. Energies are from GGA-PBE.

Values from the calculation:
* total moment: 0.0000 μB per atom
* E: -3.35 eV per atom

abc: 7.4031 7.4031 7.4031
angles: 96.98 96.98 139.20
Sites, in units of the cell vectors:
Nd 0.1143 0.6562 0.7705
Nd 0.3438 0.1143 0.4581
Nd 0.6562 0.8857 0.5419
Nd 0.8857 0.3438 0.2295
Sm 0.0000 0.0000 0.0000
Zn 0.3256 0.4274 0.7530
Zn 0.4274 0.6744 0.1018
Zn 0.5726 0.3256 0.8982
Zn 0.6744 0.5726 0.2470